Compound: Li2TeW
Source: the Alexandria database
Functional: meta-GGA SCAN
Structure: PBEsol geometry

a = 2.956 Å, b = 2.956 Å, c = 9.646 Å
α = 81.19°, β = 81.19°, γ = 60.00°
Positions (direct):
Li  0.252  0.252  0.244
Li  0.748  0.748  0.756
Te  0.500  0.500  0.500
W  0.000  0.000  0.000

Results
symmetry	R-3m, No. 166
raw total energy	-27.55	eV per atom
density	7.52	Mg/m³